1.
CeNF after structural relaxation, computed with PBE.

Values from the calculation:
Energy relative to the elements, uncorrected (meV per atom): -2544.0
Total magnetic moment (μB per formula unit): 0.00
Energy (eV per atom): -7.92

Cell lengths 3.9297, 5.6705, 7.8018 Å; angles 90.00, 90.00, 90.00 degrees
Closest atoms and distances in Å follow each position.
Fractional coordinates of all 12 atoms:
N: 0.7500 0.5274 0.8671  4 Ce 2.28-2.40
N: 0.2500 0.4726 0.1329  4 Ce 2.28-2.40
N: 0.7500 0.9726 0.3671  4 Ce 2.28-2.40
Ce: 0.7500 0.7961 0.6301  4 N 2.28-2.40, 3 F 2.46-2.49
Ce: 0.2500 0.2039 0.3699  4 N 2.28-2.40, 3 F 2.46-2.49
F: 0.7500 0.4721 0.3960  4 Ce 2.46-2.59, 2 F 2.57
F: 0.2500 0.9721 0.1040  4 Ce 2.46-2.59, 2 F 2.57
Ce: 0.7500 0.7039 0.1301  4 N 2.28-2.40, 3 F 2.46-2.49
N: 0.2500 0.0274 0.6329  4 Ce 2.28-2.40
F: 0.7500 0.0279 0.8960  4 Ce 2.46-2.59, 2 F 2.57
F: 0.2500 0.5279 0.6040  4 Ce 2.46-2.59, 2 F 2.57
Ce: 0.2500 0.2961 0.8699  4 N 2.28-2.40, 3 F 2.46-2.49

=====

2.
CaHf3Co after structural relaxation, computed with PBE.

Values from the calculation:
Total magnetic moment (μB per formula unit): 0.00
Energy (eV per atom): -5.59
Energy relative to the elements (meV per atom): 2203
Energy relative to the lowest polymorph listed for this composition (meV/atom): 1984

Cell lengths 4.8821, 4.8821, 4.8821 Å; angles 90.00, 90.00, 90.00 degrees
Closest atoms and distances in Å follow each position.
Fractional coordinates of all 5 atoms:
Ca: 0.0000 0.0000 0.0000  6 Hf 2.44
Co: 0.5000 0.5000 0.5000  12 Hf 3.45
Hf: 0.5000 0.0000 0.0000  2 Ca 2.44
Hf: 0.0000 0.0000 0.5000  2 Ca 2.44
Hf: 0.0000 0.5000 0.0000  2 Ca 2.44